Computed, not measured: a relaxed structure of Ce2ThPaTc2 at the PBE-GGA level of DFT.

a = 7.155 Å, b = 7.231 Å, c = 7.926 Å
α = 117.14°, β = 116.83°, γ = 90.00°
Each line ends with the local moment (μB).
Sites, in units of the cell vectors:
Ce 0.691 0.893 0.382  0.36
Ce 0.191 0.490 0.382  0.36
Ce 0.809 0.510 0.618  0.36
Ce 0.309 0.107 0.618  0.36
Th 0.250 0.000 0.000  0.01
Th 0.750 0.000 0.000  0.01
Pa 0.750 0.500 0.000  0.07
Pa 0.250 0.500 0.000  0.07
Tc 0.395 0.618 0.790  -0.03
Tc 0.605 0.382 0.210  -0.03
Tc 0.105 0.828 0.210  -0.03
Tc 0.895 0.172 0.790  -0.03

symmetry = Ibam, No. 72


Computed, not measured: a relaxed structure of CeTh2Pa2Tc5 at the PBE-GGA level of DFT.

a = 3.826 Å, b = 10.615 Å, c = 10.615 Å
α = 90.00°, β = 90.00°, γ = 90.00°
Sites, in units of the cell vectors:
Ce 0.000 0.000 0.000
Ce 0.000 0.500 0.500
Th 0.000 0.679 0.179
Th 0.000 0.321 0.821
Th 0.000 0.179 0.321
Th 0.000 0.821 0.679
Pa 0.000 0.128 0.628
Pa 0.000 0.872 0.372
Pa 0.000 0.628 0.872
Pa 0.000 0.372 0.128
Tc 0.500 0.204 0.052
Tc 0.500 0.796 0.948
Tc 0.500 0.052 0.796
Tc 0.500 0.704 0.448
Tc 0.500 0.948 0.204
Tc 0.500 0.296 0.552
Tc 0.500 0.552 0.704
Tc 0.500 0.448 0.296
Tc 0.500 0.500 0.000
Tc 0.500 0.000 0.500

symmetry = P4/mbm, No. 127


Respective magnetization values: 1.68, 0.00 μB per cell.
Respective calculated formation energy values: -0.22, 0.16 eV/f.u..
Respective E values: -49.7, -91.4 eV per formula unit.